(1)
A relaxed structure of CdHgRh, computed with PBE.

The structure in POSCAR format:
```
CdHgRh
1.0
-0.6797 3.2697 4.4216
-2.3494 -4.9817 0.6054
5.4331 -0.8149 -0.7213
Hg Rh Cd
2 2 2
Cartesian
-1.4767 0.0648 4.7087 Hg
3.0977 -1.1197 -0.3736 Hg
1.9203 -3.6095 -0.0722 Rh
2.7551 0.5161 1.8359 Rh
1.5762 -1.9729 2.1367 Cd
0.0394 0.9280 2.1986 Cd
```

energy relative to the elements	-26	kJ/mol of formula units
crystal system	orthorhombic
density	10.58	g/cm³
symmetry	No. 46
total magnetization	0.00	μB per formula unit

(2)
A relaxed structure of CdHgRh, computed with PBE.

The structure in POSCAR format:
```
CdHgRh
1.0
2.1132 2.2126 3.3292
-0.1114 4.5181 0.1384
-2.4052 2.1053 3.1980
Cd Hg Rh
1 1 1
Cartesian
0.0000 0.0000 0.0000 Cd
-0.2017 4.4180 3.3328 Hg
-0.1009 2.2090 1.6664 Rh
```

energy relative to the elements	35	kJ/mol of formula units
crystal system	cubic
density	10.57	g/cm³
symmetry	No. 216
total magnetization	0.00	μB per formula unit

(3)
A relaxed structure of CdHg2Rh, computed with PBE.

The structure in POSCAR format:
```
CdHg2Rh
1.0
3.3013 0.0000 0.0000
0.0000 4.9375 -0.0164
0.0000 1.6372 4.7992
Hg Rh Cd
2 1 1
Cartesian
1.6506 0.8186 2.3996 Hg
0.0000 0.0000 0.0000 Hg
1.6506 2.4687 -0.0082 Rh
0.0000 3.2873 2.3914 Cd
```

energy relative to the elements	36	kJ/mol of formula units
crystal system	monoclinic
density	13.07	g/cm³
symmetry	No. 10
total magnetization	0.00	μB per formula unit

(4)
A relaxed structure of Cd4HgRh, computed with PBE.

The structure in POSCAR format:
```
Cd4HgRh
1.0
0.0000 3.9663 3.9663
3.9663 0.0000 3.9663
3.9663 3.9663 0.0000
Cd Rh Hg
4 1 1
Cartesian
2.9705 4.9622 4.9622 Cd
4.9622 4.9622 2.9705 Cd
2.9705 2.9705 2.9705 Cd
4.9622 2.9705 4.9622 Cd
0.0000 0.0000 0.0000 Rh
5.9495 5.9495 5.9495 Hg
```

energy relative to the elements	145	kJ/mol of formula units
crystal system	cubic
density	10.02	g/cm³
symmetry	No. 216
total magnetization	0.00	μB per formula unit

(5)
A relaxed structure of CdHg2Rh, computed with PBE.

The structure in POSCAR format:
```
CdHg2Rh
1.0
1.6016 4.7763 0.0080
-1.6016 4.7763 0.0080
0.0000 1.0650 5.1556
Cd Hg Rh
1 2 1
Cartesian
0.0000 4.7763 0.0080 Cd
0.0000 3.2591 3.7881 Hg
0.0000 7.3584 1.3835 Hg
0.0000 0.5325 2.5778 Rh
```

energy relative to the elements	41	kJ/mol of formula units
crystal system	monoclinic
density	12.98	g/cm³
symmetry	No. 12
total magnetization	0.00	μB per formula unit

(6)
A relaxed structure of CdHg2Rh, computed with PBE.

The structure in POSCAR format:
```
CdHg2Rh
1.0
3.1713 0.0000 0.0000
0.0000 3.1713 0.0000
0.0000 0.0000 8.1776
Cd Rh Hg
1 1 2
Cartesian
1.5857 1.5857 5.7936 Cd
0.0000 0.0000 4.1271 Rh
1.5857 1.5857 2.3895 Hg
0.0000 0.0000 8.1336 Hg
```

energy relative to the elements	22	kJ/mol of formula units
crystal system	tetragonal
density	12.45	g/cm³
symmetry	No. 99
total magnetization	0.00	μB per formula unit

(7)
A relaxed structure of CdHgRh, computed with PBE.

The structure in POSCAR format:
```
CdHgRh
1.0
1.9914 4.6754 -1.0308
-1.9659 4.3626 1.9976
1.8937 -4.6958 1.1187
Cd Rh Hg
1 1 1
Cartesian
0.0253 8.9580 0.9582 Cd
0.0086 3.0331 0.3244 Rh
0.0172 6.0850 0.6509 Hg
```

energy relative to the elements	17	kJ/mol of formula units
crystal system	orthorhombic
density	12.47	g/cm³
symmetry	No. 44
total magnetization	0.00	μB per formula unit

(8)
A relaxed structure of CdHg2Rh2, computed with PBE.

The structure in POSCAR format:
```
CdHg2Rh2
1.0
4.0538 0.0000 0.0000
0.0000 4.0538 0.0000
2.0269 2.0269 6.2772
Cd Rh Hg
1 2 2
Cartesian
0.0000 0.0000 0.0000 Cd
4.0538 4.0538 5.0394 Rh
2.0269 2.0269 1.2378 Rh
4.0538 2.0269 3.1386 Hg
2.0269 4.0538 3.1386 Hg
```

energy relative to the elements	176	kJ/mol of formula units
crystal system	tetragonal
density	11.58	g/cm³
symmetry	No. 139
total magnetization	0.00	μB per formula unit